No. 1
{"formula": "MgCu2Se", "functional": "meta-GGA SCAN", "state": "PBEsol geometry", "lattice": [[-0.9553, 2.2725, 2.9275], [-1.8358, -3.4920, -0.3900], [4.8850, -0.7378, 2.1668]], "species": ["Cu", "Cu", "Mg", "Se"], "frac_coords": [[0.9875, 0.9749, 0.9588], [0.2702, 0.5404, 0.8220], [0.5091, 0.0181, 0.5351], [0.7333, 0.4665, 0.1841]], "e_form_raw_mev_per_atom": -103, "space_group": "Cm", "crystal_system": "monoclinic", "polymorph_energy_kj_per_mol_fu": 18.6}

---

No. 2
{"formula": "Mg2CuSe3", "functional": "meta-GGA SCAN", "state": "PBEsol geometry", "lattice": [[6.5131, 0.0000, 0.0000], [-3.2566, 5.6405, 0.0000], [0.0000, 0.0000, 6.8151]], "species": ["Cu", "Cu", "Mg", "Mg", "Mg", "Mg", "Se", "Se", "Se", "Se", "Se", "Se"], "frac_coords": [[0.0000, 0.0000, 0.2500], [0.0000, 0.0000, 0.7500], [0.6667, 0.3333, 0.0000], [0.3333, 0.6667, 0.5000], [0.3333, 0.6667, 0.0000], [0.6667, 0.3333, 0.5000], [0.3510, 0.0000, 0.2500], [0.6490, 0.0000, 0.7500], [0.6490, 0.6490, 0.2500], [0.3510, 0.3510, 0.7500], [0.0000, 0.3510, 0.2500], [0.0000, 0.6490, 0.7500]], "e_form_raw_mev_per_atom": -908, "space_group": "P6_3/mcm", "crystal_system": "hexagonal"}